No. 1
Entry from Alexandria: crystalline Hf2BiO at its relaxed geometry (PBE).

Cell: 3.573 3.573 7.034 Å, 75.29 75.29 60.00°
Fractional coordinates of all 4 atoms:
Hf (0.281, 0.281, 0.158)
Hf (0.719, 0.719, 0.842)
Bi (0.500, 0.500, 0.500)
O (0.000, 0.000, 0.000)

energy relative to the lowest polymorph listed for this composition: 0.000 eV per atom
ρ: 13.00 Mg/m³
final energy: -8.151 eV/atom
M_tot: 0.00 μB/cell
energy relative to the elements, uncorrected: -3.9 eV/f.u.

=====

No. 2
Entry from Alexandria: crystalline TlCdF3 at its relaxed geometry (PBE).

Cell: 13.750 7.618 7.618 Å, 106.96 135.68 44.32°
Fractional coordinates of all 20 atoms:
Tl (0.750, 0.088, 0.588)
Tl (0.250, 0.912, 0.412)
Tl (0.750, 0.588, 0.088)
Tl (0.250, 0.412, 0.912)
F (0.417, 0.413, 0.493)
F (0.083, 0.993, 0.913)
F (0.583, 0.587, 0.507)
F (0.917, 0.007, 0.087)
F (0.196, 0.243, 0.134)
F (0.304, 0.634, 0.743)
F (0.804, 0.757, 0.866)
F (0.696, 0.366, 0.257)
F (0.417, 0.158, 0.746)
F (0.083, 0.246, 0.658)
F (0.583, 0.842, 0.254)
F (0.917, 0.754, 0.342)
Cd (0.142, 0.545, 0.328)
Cd (0.358, 0.828, 0.045)
Cd (0.858, 0.455, 0.672)
Cd (0.642, 0.172, 0.955)

ρ: 7.14 Mg/m³
final energy: -3.774 eV/atom
M_tot: 0.00 μB/cell
energy relative to the elements, uncorrected: -10.0 eV/f.u.

=====

No. 3
Entry from Alexandria: crystalline SbTe2Br at its relaxed geometry (PBE).

Cell: 5.442 7.956 13.688 Å, 70.71 90.00 90.00°
Fractional coordinates of all 16 atoms:
Sb (0.017, 0.209, 0.589)
Sb (0.983, 0.791, 0.411)
Sb (0.517, 0.291, 0.911)
Sb (0.483, 0.709, 0.089)
Te (0.823, 0.970, 0.930)
Te (0.177, 0.030, 0.070)
Te (0.323, 0.530, 0.570)
Te (0.677, 0.470, 0.430)
Te (0.821, 0.385, 0.065)
Te (0.179, 0.615, 0.935)
Te (0.321, 0.115, 0.435)
Te (0.679, 0.885, 0.565)
Br (0.111, 0.531, 0.254)
Br (0.889, 0.469, 0.746)
Br (0.611, 0.969, 0.246)
Br (0.389, 0.031, 0.754)

energy relative to the lowest polymorph listed for this composition: 0.014 eV per atom
ρ: 5.42 Mg/m³
final energy: -3.182 eV/atom
M_tot: 0.00 μB/cell
energy relative to the elements, uncorrected: -0.6 eV/f.u.

=====

No. 4
Entry from Alexandria: crystalline MnP2Pb at its relaxed geometry (PBE).

Cell: 5.830 5.830 7.034 Å, 65.52 65.52 90.00°
Site moments in Bohr magnetons follow the coordinates.
Fractional coordinates of all 8 atoms:
Pb (0.000, 0.000, 0.000)  0.03
Pb (0.750, 0.250, 0.500)  0.04
P (0.548, 0.125, 0.250)  -0.10
P (0.202, 0.625, 0.250)  -0.10
P (0.375, 0.452, 0.750)  -0.11
P (0.875, 0.798, 0.750)  -0.11
Mn (0.500, 0.500, 0.000)  2.95
Mn (0.250, 0.750, 0.500)  2.94

ρ: 5.56 Mg/m³
final energy: -5.856 eV/atom
M_tot: 6.02 μB/cell

=====

No. 5
Entry from Alexandria: crystalline W2Au at its relaxed geometry (PBE).

Cell: 5.763 3.932 8.718 Å, 90.00 90.00 90.00°
Fractional coordinates of all 12 atoms:
Au (0.126, 0.250, 0.919)
Au (0.374, 0.750, 0.419)
Au (0.626, 0.250, 0.581)
Au (0.874, 0.750, 0.081)
W (0.119, 0.250, 0.257)
W (0.121, 0.250, 0.592)
W (0.379, 0.750, 0.092)
W (0.381, 0.750, 0.757)
W (0.619, 0.250, 0.243)
W (0.621, 0.250, 0.908)
W (0.879, 0.750, 0.408)
W (0.881, 0.750, 0.743)

energy relative to the lowest polymorph listed for this composition: 0.022 eV per atom
ρ: 18.98 Mg/m³
final energy: -9.340 eV/atom
M_tot: 0.00 μB/cell

=====

No. 6
Entry from Alexandria: crystalline Ac8La3Pm at its relaxed geometry (PBE).

Cell: 9.258 9.258 9.258 Å, 92.09 118.80 118.80°
Fractional coordinates of all 12 atoms:
Ac (0.494, 0.238, 0.238)
Ac (0.506, 0.744, 0.744)
Ac (0.000, 0.762, 0.256)
Ac (0.000, 0.256, 0.762)
Ac (0.258, 0.374, 0.374)
Ac (0.742, 0.115, 0.115)
Ac (0.000, 0.626, 0.885)
Ac (0.000, 0.885, 0.626)
La (0.500, 0.750, 0.250)
La (0.500, 0.250, 0.750)
La (0.000, 0.500, 0.500)
Pm (0.000, 0.000, 0.000)

ρ: 6.92 Mg/m³
final energy: -3.813 eV/atom
M_tot: 0.02 μB/cell

=====

No. 7
Entry from Alexandria: crystalline BaNiTe at its relaxed geometry (PBE).

Cell: 4.442 4.602 8.819 Å, 90.11 90.02 90.00°
Fractional coordinates of all 6 atoms:
Ni (0.000, 0.480, 0.245)
Ni (0.500, 0.480, 0.405)
Te (0.000, 0.481, 0.524)
Te (0.000, 0.479, 0.960)
Ba (0.500, 0.979, 0.177)
Ba (0.500, 0.982, 0.712)

ρ: 5.96 Mg/m³
final energy: -4.382 eV/atom
M_tot: 0.00 μB/cell
energy relative to the elements, uncorrected: -2.3 eV/f.u.

=====

No. 8
Entry from Alexandria: crystalline PuPaNbSn at its relaxed geometry (PBE).

Cell: 5.145 5.145 5.145 Å, 60.00 60.00 60.00°
Site moments in Bohr magnetons follow the coordinates.
Fractional coordinates of all 4 atoms:
Nb (0.750, 0.750, 0.750)  -0.40
Pa (0.000, 0.000, 0.000)  0.04
Sn (0.250, 0.250, 0.250)  -0.02
Pu (0.500, 0.500, 0.500)  5.18

ρ: 11.84 Mg/m³
final energy: -9.316 eV/atom
M_tot: 5.10 μB/cell

=====

No. 9
Entry from Alexandria: crystalline SrBeCdAu2 at its relaxed geometry (PBE).

Cell: 4.764 4.764 4.742 Å, 90.00 90.00 90.00°
Fractional coordinates of all 5 atoms:
Sr (0.500, 0.500, 0.500)
Au (0.000, 0.500, 0.000)
Au (0.500, 0.000, 0.000)
Be (0.000, 0.000, 0.000)
Cd (0.000, 0.000, 0.500)

ρ: 9.30 Mg/m³
final energy: -2.895 eV/atom
M_tot: 0.00 μB/cell

=====

No. 10
Entry from Alexandria: crystalline Pm7InAg4 at its relaxed geometry (PBE).

Cell: 5.810 8.903 7.895 Å, 67.75 68.41 70.96°
Fractional coordinates of all 12 atoms:
Pm (0.817, 0.885, 0.481)
Pm (0.183, 0.115, 0.519)
Pm (0.075, 0.593, 0.256)
Pm (0.925, 0.407, 0.744)
Pm (0.273, 0.690, 0.764)
Pm (0.500, 0.000, 0.000)
Pm (0.727, 0.310, 0.236)
In (0.000, 0.000, 0.000)
Ag (0.524, 0.315, 0.636)
Ag (0.476, 0.685, 0.364)
Ag (0.689, 0.658, 0.965)
Ag (0.311, 0.342, 0.035)

ρ: 7.56 Mg/m³
final energy: -4.034 eV/atom
M_tot: 0.00 μB/cell

=====

No. 11
Entry from Alexandria: crystalline ErTm7Al4 at its relaxed geometry (PBE).

Cell: 5.425 8.944 7.366 Å, 77.56 68.39 72.35°
Fractional coordinates of all 12 atoms:
Er (0.000, 0.000, 0.000)
Tm (0.785, 0.877, 0.552)
Tm (0.215, 0.123, 0.448)
Tm (0.065, 0.610, 0.259)
Tm (0.935, 0.390, 0.741)
Tm (0.297, 0.646, 0.759)
Tm (0.500, 0.000, 0.000)
Tm (0.703, 0.354, 0.241)
Al (0.555, 0.236, 0.654)
Al (0.445, 0.764, 0.346)
Al (0.677, 0.667, 0.978)
Al (0.323, 0.333, 0.022)

ρ: 7.70 Mg/m³
final energy: -4.271 eV/atom
M_tot: 0.00 μB/cell

=====

No. 12
Entry from Alexandria: crystalline MnSiRh2 at its relaxed geometry (PBE).

Cell: 4.405 4.405 4.769 Å, 76.08 76.08 37.81°
Site moments in Bohr magnetons follow the coordinates.
Fractional coordinates of all 4 atoms:
Mn (0.250, 0.250, 0.250)  3.37
Rh (0.014, 0.014, 0.991)  0.10
Rh (0.486, 0.486, 0.509)  0.10
Si (0.750, 0.750, 0.750)  -0.05

ρ: 8.74 Mg/m³
final energy: -7.696 eV/atom
M_tot: 3.59 μB/cell
energy relative to the elements, uncorrected: -1.5 eV/f.u.

=====

No. 13
Entry from Alexandria: crystalline PmInNi at its relaxed geometry (PBE).

Cell: 4.649 4.649 4.649 Å, 60.00 60.00 60.00°
Fractional coordinates of all 3 atoms:
Ni (0.250, 0.250, 0.250)
In (0.000, 0.000, 0.000)
Pm (0.500, 0.500, 0.500)

energy relative to the lowest polymorph listed for this composition: 0.146 eV per atom
ρ: 7.44 Mg/m³
final energy: -4.743 eV/atom
M_tot: 0.00 μB/cell

=====

No. 14
Entry from Alexandria: crystalline CaCuRe2 at its relaxed geometry (PBE).

Cell: 3.835 3.835 10.476 Å, 79.45 79.45 90.00°
Fractional coordinates of all 8 atoms:
Re (0.679, 0.125, 0.250)
Re (0.071, 0.625, 0.250)
Re (0.375, 0.321, 0.750)
Re (0.875, 0.929, 0.750)
Ca (0.500, 0.500, 0.000)
Ca (0.250, 0.750, 0.500)
Cu (0.000, 0.000, 0.000)
Cu (0.750, 0.250, 0.500)

energy relative to the lowest polymorph listed for this composition: 0.549 eV per atom
ρ: 10.62 Mg/m³
final energy: -6.917 eV/atom
M_tot: 0.00 μB/cell

=====

No. 15
Entry from Alexandria: crystalline Cr2PtRh8 at its relaxed geometry (PBE).

Cell: 3.824 6.072 7.135 Å, 105.21 105.54 90.00°
Site moments in Bohr magnetons follow the coordinates.
Fractional coordinates of all 11 atoms:
Cr (0.226, 0.647, 0.452)  1.42
Cr (0.774, 0.353, 0.548)  1.42
Pt (0.500, 0.000, 0.000)  -0.08
Rh (0.599, 0.459, 0.199)  -0.15
Rh (0.317, 0.094, 0.634)  -0.17
Rh (0.144, 0.200, 0.288)  -0.13
Rh (0.048, 0.723, 0.096)  -0.18
Rh (0.856, 0.800, 0.712)  -0.13
Rh (0.683, 0.906, 0.366)  -0.17
Rh (0.401, 0.541, 0.801)  -0.15
Rh (0.952, 0.277, 0.904)  -0.18

ρ: 12.14 Mg/m³
final energy: -7.727 eV/atom
M_tot: 1.66 μB/cell

=====

No. 16
Entry from Alexandria: crystalline Nd2B4Ir3 at its relaxed geometry (PBE).

Cell: 5.534 5.534 5.656 Å, 104.40 104.40 119.44°
Fractional coordinates of all 9 atoms:
Nd (0.655, 0.655, 0.310)
Nd (0.345, 0.345, 0.690)
B (0.052, 0.616, 0.668)
B (0.616, 0.052, 0.668)
B (0.948, 0.384, 0.332)
B (0.384, 0.948, 0.332)
Ir (0.500, 0.000, 0.000)
Ir (0.000, 0.000, 0.000)
Ir (0.000, 0.500, 0.000)

ρ: 11.49 Mg/m³
final energy: -7.150 eV/atom
M_tot: 0.00 μB/cell

=====

No. 17
Entry from Alexandria: crystalline Ac4Cd5In2 at its relaxed geometry (PBE).

Cell: 4.171 8.158 10.530 Å, 95.02 90.00 90.00°
Fractional coordinates of all 11 atoms:
Ac (0.500, 0.730, 0.565)
Ac (0.500, 0.181, 0.883)
Ac (0.500, 0.270, 0.435)
Ac (0.500, 0.819, 0.117)
Cd (0.000, 0.555, 0.293)
Cd (0.000, 0.190, 0.157)
Cd (0.000, 0.500, 0.000)
Cd (0.000, 0.810, 0.843)
Cd (0.000, 0.445, 0.707)
In (0.000, 0.065, 0.636)
In (0.000, 0.935, 0.364)

ρ: 7.91 Mg/m³
final energy: -2.675 eV/atom
M_tot: 0.00 μB/cell